(1)
Computed, not measured: a geometry-optimized LiTm2Sn structure at the GGA-PBE level of DFT.

POSCAR file:
```
LiTm2Sn
1.0
4.824 0.000 0.000
0.000 4.824 0.000
0.000 0.000 4.238
Li Tm Sn
1 2 1
Direct
0.000 0.000 0.000
0.000 0.500 0.500
0.500 0.000 0.500
0.500 0.500 0.000
```

Calculated values
Space-group type: P4/mmm, No. 123
Electronic total energy: -0.151 Ha/atom
Energy of formation from the pure elements: -392 meV per atom
Total magnetization: 0.3 μB/f.u.

(2)
Computed, not measured: a geometry-optimized TbErTlRu structure at the GGA-PBE level of DFT.

POSCAR file:
```
TbErTlRu
1.0
0.000 3.586 3.586
3.586 0.000 3.586
3.586 3.586 0.000
Tb Er Tl Ru
1 1 1 1
Direct
0.000 0.000 0.000
0.500 0.500 0.500
0.250 0.250 0.250
0.750 0.750 0.750
```

Calculated values
Space-group type: F-43m, No. 216
Electronic total energy: -0.201 Ha/atom
Energy of formation from the pure elements: -258 meV per atom
Total magnetization: 0.0 μB/f.u.

(3)
Computed, not measured: a geometry-optimized YBe2Ru structure at the GGA-PBE level of DFT.

POSCAR file:
```
YBe2Ru
1.0
-2.012 2.012 3.558
2.012 -2.012 3.558
2.012 2.012 -3.558
Y Be Ru
1 2 1
Direct
0.000 0.000 0.000
0.250 0.750 0.500
0.750 0.250 0.500
0.500 0.500 0.000
```

Calculated values
Space-group type: I4/mmm, No. 139
Electronic total energy: -0.215 Ha/atom
Energy of formation from the pure elements: -44 meV per atom
Total magnetization: 0.0 μB/f.u.

(4)
Computed, not measured: a geometry-optimized La7Zn3N2 structure at the GGA-PBE level of DFT.

POSCAR file:
```
La7Zn3N2
1.0
2.551 -12.214 0.000
2.551 12.214 0.000
0.000 0.000 5.034
La Zn N
7 3 2
Direct
0.000 0.000 0.000
0.104 0.896 0.500
0.206 0.794 0.000
0.399 0.601 0.000
0.601 0.399 0.000
0.794 0.206 0.000
0.896 0.104 0.500
0.300 0.700 0.500
0.500 0.500 0.500
0.700 0.300 0.500
0.106 0.894 0.000
0.894 0.106 0.000
```

Calculated values
Space-group type: Cmmm, No. 65
Electronic total energy: -0.189 Ha/atom
Energy relative to the elements, uncorrected: -0.57 eV per atom
Total magnetization: 0.0 μB/f.u.

(5)
Computed, not measured: a geometry-optimized MgCu2 structure at the GGA-PBE level of DFT.

POSCAR file:
```
MgCu2
1.0
6.019 0.000 0.000
0.000 6.019 0.000
0.000 0.000 6.019
Mg Cu
4 8
Direct
0.000 0.000 0.000
0.000 0.500 0.500
0.500 0.000 0.500
0.500 0.500 0.000
0.112 0.612 0.888
0.112 0.888 0.388
0.388 0.112 0.888
0.388 0.388 0.388
0.612 0.612 0.612
0.612 0.888 0.112
0.888 0.112 0.612
0.888 0.388 0.112
```

Calculated values
Space-group type: Pa-3, No. 205
Electronic total energy: -0.097 Ha/atom
Energy of formation from the pure elements: 620 meV per atom
Total magnetization: 0.0 μB/f.u.

(6)
Computed, not measured: a geometry-optimized LaBiI2N structure at the GGA-PBE level of DFT.

POSCAR file:
```
LaBiI2N
1.0
6.533 0.000 0.000
0.000 6.533 0.000
0.000 0.000 4.139
La Bi I N
1 1 2 1
Direct
0.000 0.000 0.000
0.500 0.500 0.500
0.000 0.500 0.000
0.500 0.000 0.000
0.000 0.000 0.500
```

Calculated values
Space-group type: P4/mmm, No. 123
Electronic total energy: -0.155 Ha/atom
Energy relative to the elements, uncorrected: -0.16 eV per atom
Total magnetization: 0.0 μB/f.u.

(7)
Computed, not measured: a geometry-optimized K2TaP structure at the GGA-PBE level of DFT.

POSCAR file:
```
K2TaP
1.0
1.534 0.885 11.882
-1.534 0.885 11.882
0.000 -1.771 11.882
K Ta P
2 1 1
Direct
0.240 0.240 0.240
0.760 0.760 0.760
0.000 0.000 0.000
0.500 0.500 0.500
```

Calculated values
Space-group type: R-3m, No. 166
Electronic total energy: -0.146 Ha/atom
Energy of formation from the pure elements: 898 meV per atom
Total magnetization: 0.6 μB/f.u.

(8)
Computed, not measured: a geometry-optimized MoRu2C2 structure at the GGA-PBE level of DFT.

POSCAR file:
```
MoRu2C2
1.0
-1.863 1.863 3.998
1.863 -1.863 3.998
1.863 1.863 -3.998
Mo Ru C
1 2 2
Direct
0.000 0.000 0.000
0.250 0.750 0.500
0.750 0.250 0.500
0.406 0.406 0.000
0.594 0.594 0.000
```

Calculated values
Space-group type: I4/mmm, No. 139
Electronic total energy: -0.323 Ha/atom
Energy of formation from the pure elements: 770 meV per atom
Total magnetization: 0.0 μB/f.u.